The following is a DFT calculation (PBE) of crystalline CsAlCuS3 at its relaxed geometry.

Unit cell a=15.696 b=3.627 c=10.015 alpha=90.00 beta=90.00 gamma=90.00
Positions (direct):
Cs  0.236  0.250  0.043
Cs  0.264  0.750  0.543
Cs  0.736  0.250  0.457
Cs  0.764  0.750  0.957
Al  0.020  0.250  0.361
Al  0.480  0.750  0.861
Al  0.520  0.250  0.139
Al  0.980  0.750  0.639
Cu  0.015  0.750  0.091
Cu  0.485  0.250  0.591
Cu  0.515  0.750  0.409
Cu  0.985  0.250  0.909
S  0.072  0.750  0.879
S  0.078  0.250  0.579
S  0.107  0.750  0.272
S  0.393  0.250  0.772
S  0.422  0.750  0.079
S  0.428  0.250  0.379
S  0.572  0.750  0.621
S  0.578  0.250  0.921
S  0.607  0.750  0.228
S  0.893  0.250  0.728
S  0.922  0.750  0.421
S  0.928  0.250  0.121

Calculated values
- Total energy: -4.246 eV per atom
- Space group: Pnma
- Crystal system: orthorhombic